! RbNaBi2Pd (GGA-PBE, optimized geometry); values from VASP
! Formation energy from the elements (eV/atom): -0.176
! Space-group type: P4/mmm, No. 123
! Final energy (eV per atom): -3.225
&SYSTEM
  ibrav = 0, nat = 5, ntyp = 4
/
ATOMIC_SPECIES
Na 22.99 Na.upf
Bi 208.98 Bi.upf
Rb 85.47 Rb.upf
Pd 106.42 Pd.upf
CELL_PARAMETERS angstrom
-4.1469 3.5822 -0.0578
-0.6481 -0.8371 -5.3769
-3.6399 -4.1961 1.0920
ATOMIC_POSITIONS crystal
Na 0.0000 0.0000 0.5000
Bi 0.5000 0.0000 0.0000
Bi 0.0000 0.5000 0.0000
Rb 0.5000 0.5000 0.5000
Pd 0.0000 0.0000 0.0000

***

! Y4C2F (GGA-PBE, optimized geometry); values from VASP
! Space-group type: Imma, No. 74
! Formation energy without anion corrections (meV/atom): -1033.5
! Final energy (eV per atom): -7.630
&SYSTEM
  ibrav = 0, nat = 14, ntyp = 3
/
ATOMIC_SPECIES
C 12.01 C.upf
Y 88.91 Y.upf
F 19.00 F.upf
CELL_PARAMETERS angstrom
-4.4295 -5.3668 2.1651
-1.9081 -5.2348 -4.6141
2.5650 -6.7051 0.8927
ATOMIC_POSITIONS crystal
C 0.0000 0.0000 0.0000
C 0.0000 0.5000 0.5000
C 0.0000 0.0000 0.5000
C 0.5000 0.0000 0.5000
Y 0.7572 0.2220 0.2636
Y 0.2428 0.2364 0.2780
Y 0.2428 0.7780 0.7364
Y 0.7588 0.7575 0.2575
Y 0.7572 0.7636 0.7220
Y 0.2262 0.7575 0.2575
Y 0.2412 0.2425 0.7425
Y 0.7738 0.2425 0.7425
F 0.0000 0.5000 0.0000
F 0.5000 0.5000 0.0000

***

no.,Fermi-level density of states (states/eV/f.u.)
1,3.5
2,3.2